First-principles (PBE) data for a relaxed Mg4Ni3Pd crystal, as listed in Alexandria via LeMat-Bulk.

## Properties
**Calculated formation energy**: -0.2862 eV per atom
**Total DFT energy (no corrections)**: -0.143 hartree per atom

Lattice parameters (Å, degrees): 7.5547 7.5547 7.5547 33.58 33.58 33.58
Positions (direct):
Mg 0.1231 0.1231 0.1231
Mg 0.3733 0.3733 0.3733
Mg 0.6267 0.6267 0.6267
Mg 0.8769 0.8769 0.8769
Ni 0.0000 0.0000 0.0000
Ni 0.2505 0.2505 0.2505
Ni 0.7495 0.7495 0.7495
Pd 0.5000 0.5000 0.5000

---

First-principles (PBE) data for a relaxed ZrFe2Cl crystal, as listed in Alexandria via LeMat-Bulk.

## Properties
**Total DFT energy (no corrections)**: -0.243 hartree per atom
**Formation energy (no corrections)**: 0.90 eV per formula unit

Lattice parameters (Å, degrees): 5.0365 5.0365 5.0365 142.79 122.86 70.18
Positions (direct):
Zr 0.0000 0.0000 0.0000
Fe 0.4882 0.4882 0.0000
Fe 0.7004 0.2004 0.5000
Cl 0.2783 0.7783 0.5000

---

First-principles (PBE) data for a relaxed Nb2GeAu crystal, as listed in Alexandria via LeMat-Bulk.

## Properties
**Calculated formation energy**: 0.1212 eV per atom
**Total DFT energy (no corrections)**: -0.253 hartree per atom

Lattice parameters (Å, degrees): 7.1682 7.1682 7.1682 29.16 29.16 29.16
Positions (direct):
Nb 0.2388 0.2388 0.2388
Nb 0.7612 0.7612 0.7612
Ge 0.5000 0.5000 0.5000
Au 0.0000 0.0000 0.0000